15
Lattice="-1.297 0.121 -5.868 5.119 -2.517 1.895 -3.485 -6.610 0.634" Properties=species:S:1:pos:R:3 comment="K3Na2CrF9 | the Alexandria database | PBE with a Hubbard U | relaxed" space_group="P-3m1, No. 164" n_ef_per_ev_fu=12.3 total_energy_ev_per_cell=-70.11 magmom_total_mub_per_cell=2.83 pbc="T T T"
Cr -1.742 -3.305 0.317
K 0.471 -6.397 -0.236
Na -2.004 -6.156 -2.762
F 2.559 -1.258 0.948
F -2.591 -4.540 -4.302
F -1.874 -4.607 -1.056
F 0.240 -5.932 -3.253
F 0.097 -3.074 -0.085
K 0.000 0.000 0.000
F 2.928 -4.466 0.964
F 2.211 -4.399 -2.282
F 1.911 -1.198 -1.986
K -0.134 -2.609 -3.102
F -0.648 0.060 -2.934
Na 2.341 -2.850 -0.576